No. 1
# Sc4Ir3Rh

A relaxed Sc4Ir3Rh crystal (PBE, Alexandria).

a = 4.5600 Å, b = 4.5600 Å, c = 12.9585 Å
α = 90.00°, β = 90.00°, γ = 90.00°
Closest atoms and distances in Å follow each position.
Space group I4/mmm (No. 139)
Asymmetric unit:
Sc 0.0000 0.5000 0.1247  6 Ir 2.79-2.80, 2 Rh 2.79
Ir 0.0000 0.0000 0.0000  8 Sc 2.79
Ir 0.0000 0.0000 0.2502  8 Sc 2.80
Rh 0.0000 0.0000 0.5000  8 Sc 2.79

Values from the calculation:
E ... -8.44 eV/atom
Calculated formation energy ... -1031 meV per atom



No. 2
# ScIrRh4

A relaxed ScIrRh4 crystal (PBE, Alexandria).

a = 7.2349 Å, b = 7.2349 Å, c = 7.2349 Å
α = 90.00°, β = 90.00°, γ = 90.00°
Closest atoms and distances in Å follow each position.
Space group F-43m (No. 216)
Asymmetric unit:
Sc 0.0000 0.0000 0.0000  12 Rh 3.00, 4 Ir 3.13
Ir 0.2500 0.2500 0.7500  12 Rh 3.00, 4 Sc 3.13
Rh 0.1245 0.1245 0.3755  6 Rh 2.55-2.57

Values from the calculation:
E ... -7.51 eV/atom
Energy above the lowest structure with this stoichiometry ... 0.75 eV/f.u.
Calculated formation energy ... -79 meV per atom



No. 3
# ScIr2Rh2

A relaxed ScIr2Rh2 crystal (PBE, Alexandria).

a = 6.7785 Å, b = 6.7785 Å, c = 3.5511 Å
α = 90.00°, β = 90.00°, γ = 90.00°
Closest atoms and distances in Å follow each position.
Space group P4/mbm (No. 127)
Asymmetric unit:
Sc 0.0000 0.0000 0.0000  4 Ir 2.65
Ir 0.1311 0.3689 0.0000  1 Ir 2.51, 6 Rh 2.62-2.71, 2 Sc 2.65
Rh 0.1680 0.6680 0.5000  6 Ir 2.62-2.71

Values from the calculation:
E ... -7.94 eV/atom
Energy above the lowest structure with this stoichiometry ... 0.00 eV/f.u.
Calculated formation energy ... -188 meV per atom